No. 1
! NdGd2Cd3Ga2Au, optimized geometry, DFT PBE-GGA; values from VASP
&SYSTEM
  ibrav = 0, nat = 9, ntyp = 5
/
ATOMIC_SPECIES
Ga 69.72 Ga.upf
Cd 112.41 Cd.upf
Au 196.97 Au.upf
Gd 157.25 Gd.upf
Nd 144.24 Nd.upf
CELL_PARAMETERS angstrom
-2.668 2.965 -1.833
-5.836 -4.418 1.348
2.120 5.033 5.056
ATOMIC_POSITIONS angstrom
Ga -4.533 0.200 1.666
Ga -1.855 3.381 2.914
Cd -4.114 1.943 3.875
Cd -6.624 -1.654 1.709
Cd -0.694 5.390 4.473
Au -3.702 0.613 6.381
Gd -3.433 -2.597 0.796
Gd 1.245 2.959 2.975
Nd -1.536 0.254 2.648
! SG   Amm2
! Mass density   8.94 g cm⁻³
! DFT total energy   -3.48 eV/atom
! Crystal system   orthorhombic
! V   210.3 Å³/cell

---

No. 2
! PrGaO3, optimized geometry, DFT PBE-GGA; values from VASP
&SYSTEM
  ibrav = 0, nat = 20, ntyp = 3
/
ATOMIC_SPECIES
O 16.00 O.upf
Ga 69.72 Ga.upf
Pr 140.91 Pr.upf
CELL_PARAMETERS angstrom
5.468 0.000 0.000
0.000 5.548 0.000
0.000 0.000 7.771
ATOMIC_POSITIONS angstrom
O 1.163 1.176 4.219
O 1.571 3.950 4.219
O 1.571 3.950 7.438
O 4.305 4.372 3.552
O 3.172 0.091 5.828
O 4.305 4.372 0.333
O 5.030 2.865 5.828
O 3.897 1.598 0.333
O 3.897 1.598 3.552
O 2.296 5.457 1.943
O 0.438 2.683 1.943
O 1.163 1.176 7.438
Ga 2.734 0.000 0.000
Ga 0.000 2.774 0.000
Ga 2.734 0.000 3.886
Ga 0.000 2.774 3.886
Pr 5.410 0.242 1.943
Pr 2.792 3.016 1.943
Pr 2.676 2.533 5.828
Pr 0.058 5.307 5.828
! SG   Pnma
! Mass density   7.29 g cm⁻³
! DFT total energy   -7.15 eV/atom
! Crystal system   orthorhombic
! V   235.8 Å³/cell

---

No. 3
! ErP2, optimized geometry, DFT PBE-GGA; values from VASP
&SYSTEM
  ibrav = 0, nat = 6, ntyp = 2
/
ATOMIC_SPECIES
P 30.97 P.upf
Er 167.26 Er.upf
CELL_PARAMETERS angstrom
4.361 -3.013 -0.518
2.564 -1.742 4.331
-0.161 -5.164 1.293
ATOMIC_POSITIONS angstrom
P 4.308 -3.617 2.545
P 2.946 -5.328 1.026
P 2.047 -4.693 3.451
P 4.227 -6.199 3.192
Er 1.691 -2.480 1.277
Er 0.000 0.000 0.000
! SG   Fd-3m
! Mass density   7.13 g cm⁻³
! DFT total energy   -5.34 eV/atom
! Crystal system   cubic
! V   106.8 Å³/cell

---

No. 4
! ZnH20C18O14, optimized geometry, DFT PBE-GGA; values from VASP
&SYSTEM
  ibrav = 0, nat = 53, ntyp = 4
/
ATOMIC_SPECIES
O 16.00 O.upf
H 1.01 H.upf
C 12.01 C.upf
Zn 65.41 Zn.upf
CELL_PARAMETERS angstrom
-3.103 -1.613 3.320
1.080 -5.279 -1.907
12.264 0.996 11.581
ATOMIC_POSITIONS angstrom
O -1.264 -5.293 1.096
O 6.282 -4.215 5.055
O 9.066 -0.741 13.577
O 11.504 -0.603 11.897
O 2.923 -3.163 3.622
O 2.582 -5.932 5.813
O 1.174 -5.154 -0.584
O 7.658 0.037 7.180
O 5.542 -4.220 7.625
O 3.958 -1.681 7.938
O 4.698 -1.676 5.369
O 7.203 -2.156 6.856
O 3.037 -3.739 6.137
O 7.317 -2.733 9.372
H 2.015 -4.652 1.531
H 8.225 -1.243 11.462
H 4.019 -2.312 5.041
H 6.221 -3.584 7.953
H 7.205 -4.593 5.150
H 3.462 -0.787 2.822
H 3.334 -5.199 3.404
H 4.298 -1.471 8.869
H 8.636 -1.112 9.370
H 1.604 -4.784 3.624
H 6.778 -5.108 10.171
H 6.906 -0.697 9.590
H 5.681 -4.237 6.640
H 4.560 -1.658 6.353
H -0.688 -3.074 2.002
H 3.035 -1.303 7.843
H 10.120 -4.324 9.211
H 10.928 -2.822 10.992
H 5.943 -4.425 4.124
H 0.120 -1.572 3.783
C 2.631 -4.524 3.923
C 10.837 -2.458 9.973
C 7.950 -2.272 11.663
C 2.758 -2.764 2.323
C 11.176 -1.145 9.646
C 3.084 -1.434 2.028
C -0.935 -4.751 3.348
C 7.485 -1.162 7.583
C 7.482 -3.131 10.670
C 10.389 -3.300 8.953
C 2.290 -3.624 1.330
C -0.597 -3.438 3.021
C 2.755 -4.734 5.411
C 7.609 -1.372 9.071
C -0.149 -2.596 4.041
C 7.156 -4.462 10.965
C 11.676 -0.189 10.733
C -1.435 -5.706 2.261
Zn 6.672 -2.141 4.837
! SG   P-1
! Mass density   1.90 g cm⁻³
! DFT total energy   -6.24 eV/atom
! Crystal system   triclinic
! V   460.2 Å³/cell

---

No. 5
! NdNi4P2, optimized geometry, DFT PBE-GGA; values from VASP
&SYSTEM
  ibrav = 0, nat = 14, ntyp = 3
/
ATOMIC_SPECIES
P 30.97 P.upf
Nd 144.24 Nd.upf
Ni 58.69 Ni.upf
CELL_PARAMETERS angstrom
-3.690 0.878 6.116
5.874 -1.709 3.789
0.970 3.512 0.081
ATOMIC_POSITIONS angstrom
P 2.187 1.108 7.758
P 3.205 -0.987 4.439
P 0.968 1.572 2.228
P -1.020 0.156 5.467
Nd 1.577 1.340 4.993
Nd 0.000 0.000 0.000
Ni -0.587 0.090 3.131
Ni 0.346 -0.265 7.364
Ni -1.438 2.187 4.403
Ni 4.039 0.705 3.070
Ni 4.593 0.494 5.583
Ni -0.884 1.976 6.916
Ni 2.772 -0.921 6.774
Ni 1.839 -0.566 2.541
! SG   P4_2/mnm
! Mass density   7.76 g cm⁻³
! DFT total energy   -6.17 eV/atom
! Crystal system   tetragonal
! ΔE to the lowest computed polymorph   0.00 eV per formula unit
! V   188.7 Å³/cell

---

No. 6
! SmCo3, optimized geometry, DFT PBE-GGA; values from VASP
&SYSTEM
  ibrav = 0, nat = 8, ntyp = 2
/
ATOMIC_SPECIES
Sm 150.36 Sm.upf
Co 58.93 Co.upf
CELL_PARAMETERS angstrom
-1.031 -5.766 0.219
2.752 2.311 -4.631
3.723 -0.593 1.917
ATOMIC_POSITIONS angstrom
Sm 1.161 -3.222 -0.918
Sm 4.283 -0.826 -1.577
Co 2.260 -5.146 1.017
Co 1.520 -0.299 -0.712
Co 2.561 -2.388 -3.380
Co 3.184 1.098 -3.512
Co 2.883 -1.660 0.885
Co 3.924 -3.749 -1.782
! SG   P6_3/mmc
! Mass density   8.63 g cm⁻³
! DFT total energy   -6.38 eV/atom
! Crystal system   hexagonal
! DFT formation energy   0.13 eV per atom
! V   125.8 Å³/cell

---

No. 7
! BeCoGeMo, optimized geometry, DFT PBE-GGA; values from VASP
&SYSTEM
  ibrav = 0, nat = 4, ntyp = 4
/
ATOMIC_SPECIES
Ge 72.64 Ge.upf
Be 9.01 Be.upf
Mo 95.94 Mo.upf
Co 58.93 Co.upf
CELL_PARAMETERS angstrom
0.000 2.909 2.909
2.909 0.000 2.909
2.909 2.909 0.000
ATOMIC_POSITIONS angstrom
Ge 0.000 0.000 0.000
Be 2.909 2.909 2.909
Mo 1.455 1.455 1.455
Co 4.364 4.364 4.364
! SG   F-43m
! Mass density   7.98 g cm⁻³
! DFT total energy   -6.48 eV/atom
! Crystal system   cubic
! ΔE to the lowest computed polymorph   0.00 eV per formula unit
! V   49.2 Å³/cell

---

No. 8
! Lu2Al, optimized geometry, DFT PBE-GGA; values from VASP
&SYSTEM
  ibrav = 0, nat = 6, ntyp = 2
/
ATOMIC_SPECIES
Al 26.98 Al.upf
Lu 174.97 Lu.upf
CELL_PARAMETERS angstrom
-4.725 -3.481 -1.496
-5.623 1.763 1.398
-3.796 1.765 -4.377
ATOMIC_POSITIONS angstrom
Al -3.536 0.012 -1.119
Al 0.000 0.000 0.000
Lu -6.029 -0.852 -3.495
Lu -6.478 1.770 -2.049
Lu -6.942 -0.853 -0.608
Lu -8.840 0.030 -2.796
! SG   Fd-3m
! Mass density   7.97 g cm⁻³
! DFT total energy   -3.90 eV/atom
! Crystal system   cubic
! V   157.1 Å³/cell

---

No. 9
! SrGdTe2AuSe, optimized geometry, DFT PBE-GGA; values from VASP
&SYSTEM
  ibrav = 0, nat = 12, ntyp = 5
/
ATOMIC_SPECIES
Te 127.60 Te.upf
Au 196.97 Au.upf
Sr 87.62 Sr.upf
Gd 157.25 Gd.upf
Se 78.96 Se.upf
CELL_PARAMETERS angstrom
5.491 0.588 -5.375
-7.505 0.335 1.718
0.959 10.558 2.135
ATOMIC_POSITIONS angstrom
Te 4.461 10.529 -2.301
Te -5.516 0.951 0.778
Te 4.087 6.407 -3.134
Te -5.141 5.072 1.611
Au 5.837 8.499 -3.570
Au -6.891 2.981 2.048
Sr -3.659 8.314 1.613
Sr 2.604 3.166 -3.135
Gd -1.007 0.461 -1.829
Gd -0.527 5.740 -0.761
Se 0.786 8.400 -0.814
Se -1.841 3.080 -0.709
! SG   Cmcm
! Mass density   7.53 g cm⁻³
! DFT total energy   -4.51 eV/atom
! Crystal system   orthorhombic
! V   342.3 Å³/cell

---

No. 10
! TmNiOs, optimized geometry, DFT PBE-GGA; values from VASP
&SYSTEM
  ibrav = 0, nat = 3, ntyp = 3
/
ATOMIC_SPECIES
Tm 168.93 Tm.upf
Ni 58.69 Ni.upf
Os 190.23 Os.upf
CELL_PARAMETERS angstrom
0.000 3.092 3.092
3.092 0.000 3.092
3.092 3.092 0.000
ATOMIC_POSITIONS angstrom
Tm 0.000 0.000 0.000
Ni 1.546 1.546 1.546
Os 4.639 4.639 4.639
! SG   F-43m
! Mass density   11.73 g cm⁻³
! DFT total energy   -6.09 eV/atom
! Crystal system   cubic
! DFT formation energy   1.00 eV per atom
! ΔE to the lowest computed polymorph   2.21 eV per formula unit
! V   59.1 Å³/cell

---

No. 11
! PrGdPBr2, optimized geometry, DFT PBE-GGA; values from VASP
&SYSTEM
  ibrav = 0, nat = 5, ntyp = 4
/
ATOMIC_SPECIES
Br 79.90 Br.upf
Pr 140.91 Pr.upf
Gd 157.25 Gd.upf
P 30.97 P.upf
CELL_PARAMETERS angstrom
4.121 0.000 0.000
-2.060 3.569 0.000
0.000 0.000 10.768
ATOMIC_POSITIONS angstrom
Br 0.000 0.000 7.279
Br 0.000 2.379 3.392
Pr 0.000 2.379 9.194
Gd 0.000 0.000 1.584
P 2.060 1.190 0.086
! SG   P3m1
! Mass density   5.13 g cm⁻³
! DFT total energy   -5.41 eV/atom
! Crystal system   trigonal
! V   158.3 Å³/cell

---

No. 12
! HoLu3Sc2Bi2Os, optimized geometry, DFT PBE-GGA; values from VASP
&SYSTEM
  ibrav = 0, nat = 9, ntyp = 5
/
ATOMIC_SPECIES
Sc 44.96 Sc.upf
Bi 208.98 Bi.upf
Lu 174.97 Lu.upf
Os 190.23 Os.upf
Ho 164.93 Ho.upf
CELL_PARAMETERS angstrom
-3.583 -1.106 1.729
-0.223 -6.599 -4.686
3.574 -0.230 7.262
ATOMIC_POSITIONS angstrom
Sc -0.137 -4.104 -2.910
Sc 2.222 -0.146 4.513
Bi 0.541 -2.894 4.201
Bi -0.758 -5.072 0.115
Lu -1.184 -7.195 -2.127
Lu 1.725 -2.315 7.026
Lu 0.757 -5.747 2.823
Os 3.332 -6.790 2.561
Ho 1.299 -2.647 0.998
! SG   Amm2
! Mass density   9.88 g cm⁻³
! DFT total energy   -6.09 eV/atom
! Crystal system   orthorhombic
! V   233.2 Å³/cell

---

No. 13
! Y2Al4PdAu, optimized geometry, DFT PBE-GGA; values from VASP
&SYSTEM
  ibrav = 0, nat = 8, ntyp = 4
/
ATOMIC_SPECIES
Al 26.98 Al.upf
Pd 106.42 Pd.upf
Y 88.91 Y.upf
Au 196.97 Au.upf
CELL_PARAMETERS angstrom
6.845 0.000 0.000
0.000 2.194 5.145
0.000 -2.194 5.145
ATOMIC_POSITIONS angstrom
Al 2.098 0.000 6.528
Al 4.747 0.000 6.528
Al 5.466 0.000 3.752
Al 1.379 0.000 3.752
Pd 3.423 0.000 2.148
Y 0.000 0.000 0.791
Y 3.423 0.000 9.522
Au 0.000 0.000 8.137
! SG   Amm2
! Mass density   6.33 g cm⁻³
! DFT total energy   -5.29 eV/atom
! Crystal system   orthorhombic
! V   154.5 Å³/cell

---

No. 14
! NbFeSiW, optimized geometry, DFT PBE-GGA; values from VASP
&SYSTEM
  ibrav = 0, nat = 4, ntyp = 4
/
ATOMIC_SPECIES
Nb 92.91 Nb.upf
W 183.84 W.upf
Fe 55.84 Fe.upf
Si 28.09 Si.upf
CELL_PARAMETERS angstrom
0.000 3.056 3.056
3.056 0.000 3.056
3.056 3.056 0.000
ATOMIC_POSITIONS angstrom
Nb 3.056 3.056 3.056
W 1.528 1.528 1.528
Fe 4.585 4.585 4.585
Si 0.000 0.000 0.000
! SG   F-43m
! Mass density   10.49 g cm⁻³
! DFT total energy   -9.17 eV/atom
! Crystal system   cubic
! ΔE to the lowest computed polymorph   0.00 eV per formula unit
! V   57.1 Å³/cell

---

No. 15
! LaAsW, optimized geometry, DFT PBE-GGA; values from VASP
&SYSTEM
  ibrav = 0, nat = 3, ntyp = 3
/
ATOMIC_SPECIES
La 138.91 La.upf
W 183.84 W.upf
As 74.92 As.upf
CELL_PARAMETERS angstrom
0.000 3.499 3.499
3.499 0.000 3.499
3.499 3.499 0.000
ATOMIC_POSITIONS angstrom
La 0.000 0.000 0.000
W 5.248 5.248 5.248
As 1.749 1.749 1.749
! SG   F-43m
! Mass density   7.71 g cm⁻³
! DFT total energy   -6.25 eV/atom
! Crystal system   cubic
! ΔE to the lowest computed polymorph   2.58 eV per formula unit
! V   85.7 Å³/cell

---

No. 16
! KHoGa, optimized geometry, DFT PBE-GGA; values from VASP
&SYSTEM
  ibrav = 0, nat = 3, ntyp = 3
/
ATOMIC_SPECIES
K 39.10 K.upf
Ga 69.72 Ga.upf
Ho 164.93 Ho.upf
CELL_PARAMETERS angstrom
0.260 -2.512 4.498
-4.293 -1.876 2.158
-0.792 -5.095 0.159
ATOMIC_POSITIONS angstrom
K 0.000 0.000 0.000
Ga -2.413 -4.741 3.407
Ho -1.206 -2.371 1.704
! SG   F-43m
! Mass density   4.68 g cm⁻³
! DFT total energy   -2.33 eV/atom
! Crystal system   cubic
! ΔE to the lowest computed polymorph   1.51 eV per formula unit
! V   97.0 Å³/cell

---

No. 17
! GdYCo2Ge4, optimized geometry, DFT PBE-GGA; values from VASP
&SYSTEM
  ibrav = 0, nat = 8, ntyp = 4
/
ATOMIC_SPECIES
Ge 72.64 Ge.upf
Co 58.93 Co.upf
Y 88.91 Y.upf
Gd 157.25 Gd.upf
CELL_PARAMETERS angstrom
4.166 0.000 0.000
0.000 2.075 8.298
0.000 -2.075 8.298
ATOMIC_POSITIONS angstrom
Ge 2.083 0.000 0.741
Ge 2.083 0.000 12.456
Ge 0.000 0.000 15.853
Ge 0.000 0.000 4.140
Co 2.083 0.000 3.002
Co 0.000 0.000 13.594
Y 2.083 0.000 6.491
Gd 0.000 0.000 10.103
! SG   Amm2
! Mass density   7.58 g cm⁻³
! DFT total energy   -6.13 eV/atom
! Crystal system   orthorhombic
! V   143.5 Å³/cell

---

No. 18
! NaPrAg, optimized geometry, DFT PBE-GGA; values from VASP
&SYSTEM
  ibrav = 0, nat = 3, ntyp = 3
/
ATOMIC_SPECIES
Na 22.99 Na.upf
Ag 107.87 Ag.upf
Pr 140.91 Pr.upf
CELL_PARAMETERS angstrom
3.950 -1.092 3.065
-0.113 1.405 4.920
-0.504 -3.540 3.661
ATOMIC_POSITIONS angstrom
Na 2.499 -2.420 8.734
Ag 0.833 -0.807 2.911
Pr 0.000 0.000 0.000
! SG   F-43m
! Mass density   4.76 g cm⁻³
! DFT total energy   -2.52 eV/atom
! Crystal system   cubic
! ΔE to the lowest computed polymorph   1.05 eV per formula unit
! V   94.8 Å³/cell

---

No. 19
! Pb2AuI7, optimized geometry, DFT PBE-GGA; values from VASP
&SYSTEM
  ibrav = 0, nat = 10, ntyp = 3
/
ATOMIC_SPECIES
I 126.90 I.upf
Au 196.97 Au.upf
Pb 207.20 Pb.upf
CELL_PARAMETERS angstrom
-3.094 3.351 -1.028
-4.854 -2.900 -5.174
-9.362 -4.731 6.498
ATOMIC_POSITIONS angstrom
I -4.336 1.480 -1.254
I -9.054 -3.536 -2.970
I -8.256 -0.745 3.266
I -7.108 -3.816 0.662
I -7.763 0.625 -2.803
I -9.547 -4.905 3.099
I -12.973 -5.760 1.550
Au -2.427 -1.450 -2.587
Pb -6.735 -0.278 0.256
Pb -10.574 -4.002 0.040
! SG   P-1
! Mass density   6.13 g cm⁻³
! DFT total energy   -2.54 eV/atom
! Crystal system   triclinic
! V   406.4 Å³/cell

---

No. 20
! Sc2Ta4Co3N3, optimized geometry, DFT PBE-GGA; values from VASP
&SYSTEM
  ibrav = 0, nat = 24, ntyp = 4
/
ATOMIC_SPECIES
Ta 180.95 Ta.upf
Co 58.93 Co.upf
N 14.01 N.upf
Sc 44.96 Sc.upf
CELL_PARAMETERS angstrom
4.592 -2.651 0.000
4.592 2.651 0.000
-3.147 0.000 13.023
ATOMIC_POSITIONS angstrom
Ta -0.822 0.470 7.726
Ta 5.283 0.442 7.729
Ta 0.755 -0.442 5.295
Ta -0.818 0.442 11.806
Ta 0.752 -0.470 1.215
Ta 6.860 -0.470 5.297
Ta 6.856 -0.442 1.217
Ta 5.286 0.470 11.809
Co 4.457 -0.832 9.773
Co 2.232 -2.271 9.768
Co 3.806 2.271 3.256
Co 1.581 0.832 3.251
Co 6.030 0.832 3.261
Co 0.008 -0.832 9.763
N 2.273 -1.290 6.514
N 0.723 1.325 6.512
N 2.296 -1.325 0.000
N 3.847 1.290 0.002
N 3.765 1.290 6.510
N 2.191 -1.290 13.022
Sc 3.828 -0.443 1.597
Sc 2.209 0.443 11.426
Sc 3.783 -0.443 4.914
Sc 2.255 0.443 8.109
! SG   C2/c
! Mass density   10.81 g cm⁻³
! DFT total energy   -9.64 eV/atom
! Crystal system   monoclinic
! V   317.1 Å³/cell

---

No. 21
! PmSbN2O, optimized geometry, DFT PBE-GGA; values from VASP
&SYSTEM
  ibrav = 0, nat = 10, ntyp = 4
/
ATOMIC_SPECIES
Sb 121.76 Sb.upf
Pm 145.00 Pm.upf
N 14.01 N.upf
O 16.00 O.upf
CELL_PARAMETERS angstrom
4.045 -4.011 0.000
4.045 4.011 0.000
-3.976 0.000 4.046
ATOMIC_POSITIONS angstrom
Sb 0.034 -2.006 2.023
Sb 0.034 2.006 2.023
Pm 6.174 0.000 0.012
Pm -2.061 0.000 4.034
N 4.045 2.434 0.000
N 0.521 0.000 2.346
N 4.045 -2.434 0.000
N 3.593 0.000 1.700
O 2.057 2.539 2.023
O 2.057 -2.539 2.023
! SG   C2/m
! Mass density   7.86 g cm⁻³
! DFT total energy   -7.00 eV/atom
! Crystal system   monoclinic
! V   131.3 Å³/cell

---

No. 22
! CsAcPm, optimized geometry, DFT PBE-GGA; values from VASP
&SYSTEM
  ibrav = 0, nat = 3, ntyp = 3
/
ATOMIC_SPECIES
Cs 132.91 Cs.upf
Ac 227.00 Ac.upf
Pm 145.00 Pm.upf
CELL_PARAMETERS angstrom
-2.401 2.652 4.644
-5.771 1.024 0.132
-3.432 -3.034 3.658
ATOMIC_POSITIONS angstrom
Cs 0.000 0.000 0.000
Ac -2.901 0.160 2.109
Pm -8.703 0.481 6.326
! SG   F-43m
! Mass density   5.89 g cm⁻³
! DFT total energy   -2.16 eV/atom
! Crystal system   cubic
! ΔE to the lowest computed polymorph   0.02 eV per formula unit
! V   142.5 Å³/cell